(1)
Below is a relaxed structure of YTlP, with properties calculated at the PBE level.

Geometry as POSCAR:
```
YTlP
1.0
3.9479 -6.8379 0.0000
3.9479 6.8379 0.0000
0.0000 0.0000 3.8969
Y Tl P
3 3 3
direct
0.6051 0.0000 0.5000
0.0000 0.6051 0.5000
0.3949 0.3949 0.5000
0.2642 0.0000 0.0000
0.0000 0.2642 0.0000
0.7358 0.7358 0.0000
0.0000 0.0000 0.5000
0.3333 0.6667 0.0000
0.6667 0.3333 0.0000
```

Results
* offset from the most stable computed form: 0.180 eV per atom
* energy of formation: -1.390 eV/f.u.
* total moment: 0.000 Bohr magnetons per cell

=====

(2)
Below is a relaxed structure of ZnIrRu2, with properties calculated at the PBE level.

Geometry as POSCAR:
```
ZnIrRu2
1.0
4.7636 -0.0038 0.0000
1.7664 4.4239 0.0000
-3.2650 -2.2101 2.6734
Ir Ru Zn
1 2 1
direct
0.7500 0.2500 0.5000
0.0000 0.0000 0.0000
0.2500 0.7500 0.5000
0.5000 0.5000 0.0000
```

Results
* energy of formation: 0.295 eV/f.u.
* total moment: 0.001 Bohr magnetons per cell

=====

(3)
Below is a relaxed structure of TaTl2Pb, with properties calculated at the PBE level.

Geometry as POSCAR:
```
TaTl2Pb
1.0
5.8162 -0.0007 0.0000
2.3724 5.3104 0.0000
-4.0943 -2.6549 3.1650
Pb Ta Tl
1 1 2
direct
0.5000 0.5000 0.0000
0.7500 0.2500 0.5000
0.0000 0.0000 0.0000
0.2500 0.7500 0.5000
```

Results
* offset from the most stable computed form: 0.304 eV per atom
* energy of formation: 2.782 eV/f.u.
* total moment: 0.000 Bohr magnetons per cell

=====

(4)
Below is a relaxed structure of Cr2CoSb, with properties calculated at the PBE level.

Geometry as POSCAR:
```
Cr2CoSb
1.0
7.9006 -0.0131 -0.0077
7.3418 2.9186 -0.0077
7.3418 1.3995 2.5612
Co Cr Sb
1 2 1
direct
0.7430 0.7430 0.7430
0.9985 0.9985 0.9985
0.2615 0.2615 0.2615
0.4969 0.4969 0.4969
```

Results
* DFT total energy: -7.0890 eV/atom
* total moment: 0.257 Bohr magnetons per cell

=====

(5)
Below is a relaxed structure of Tm2ZrPd3, with properties calculated at the PBE level.

Geometry as POSCAR:
```
Tm2ZrPd3
1.0
3.4616 0.0000 0.0000
0.0000 4.8099 0.0000
0.0000 0.0000 14.6005
Tm Zr Pd
4 2 6
direct
0.9987 0.0000 0.6667
0.9987 0.0000 0.3333
0.0013 0.5000 0.1667
0.0013 0.5000 0.8333
0.9992 0.5000 0.5000
0.0008 0.0000 0.0000
0.4986 0.5000 0.6541
0.4992 0.0000 0.5000
0.4986 0.5000 0.3459
0.5014 0.0000 0.1541
0.5008 0.5000 0.0000
0.5014 0.0000 0.8459
```

Results
* energy of formation: -4.833 eV/f.u.
* total moment: 0.000 Bohr magnetons per cell

=====

(6)
Below is a relaxed structure of NiHgPb, with properties calculated at the PBE level.

Geometry as POSCAR:
```
NiHgPb
1.0
6.6039 0.4334 -0.3433
0.4432 6.9546 0.2680
1.9142 2.8394 5.9756
Hg Ni Pb
4 4 4
direct
0.1858 0.2369 0.4045
0.1560 0.2566 0.8839
0.7117 0.2824 0.2527
0.3189 0.7513 0.5990
0.0602 0.5478 0.0439
0.4393 0.4460 0.9695
0.4726 0.0430 0.1837
0.0324 0.9520 0.8217
0.7928 0.7095 0.7548
0.8052 0.7719 0.2561
0.6979 0.2320 0.7401
0.3347 0.7705 0.0901
```

Results
* offset from the most stable computed form: 0.000 eV per atom
* energy of formation: 0.396 eV/f.u.
* total moment: 0.000 Bohr magnetons per cell

=====

(7)
Below is a relaxed structure of AlRe2Mo, with properties calculated at the PBE level.

Geometry as POSCAR:
```
AlRe2Mo
1.0
4.9622 0.0048 0.0000
2.0531 4.5175 0.0000
-3.5076 -2.2611 2.6846
Re Mo Al
2 1 1
direct
0.0000 0.0000 0.0000
0.2500 0.7500 0.5000
0.7500 0.2500 0.5000
0.5000 0.5000 0.0000
```

Results
* energy of formation: 0.204 eV/f.u.
* total moment: 0.000 Bohr magnetons per cell

=====

(8)
Below is a relaxed structure of TlPbSe2, with properties calculated at the PBE level.

Geometry as POSCAR:
```
TlPbSe2
1.0
-6.1258 2.9882 0.8570
-2.7147 -6.0649 1.7426
-2.9395 -0.3502 7.7416
Pb Tl Se
2 2 4
direct
0.0000 0.0000 0.0000
0.7500 0.2500 0.5000
0.5000 0.5000 0.0000
0.2500 0.7500 0.5000
0.6167 0.1250 0.2500
0.1333 0.6250 0.2500
0.3750 0.3833 0.7500
0.8750 0.8667 0.7500
```

Results
* DFT total energy: -3.5331 eV/atom
* total moment: 0.000 Bohr magnetons per cell

=====

(9)
Below is a relaxed structure of TcHg2Pt, with properties calculated at the PBE level.

Geometry as POSCAR:
```
TcHg2Pt
1.0
-3.1937 -0.3618 -3.7586
3.0618 -3.1290 -2.3005
-1.3154 -2.2695 1.3361
Hg Pt Tc
2 1 1
direct
0.0000 0.0000 0.0000
0.5000 0.5000 0.0000
0.5000 0.0000 0.5000
0.0000 0.5000 0.5000
```

Results
* offset from the most stable computed form: 0.325 eV per atom
* energy of formation: 2.115 eV/f.u.
* total moment: 0.422 Bohr magnetons per cell

=====

(10)
Below is a relaxed structure of BaTb2Gd, with properties calculated at the PBE level.

Geometry as POSCAR:
```
BaTb2Gd
1.0
3.7234 0.0000 0.0000
0.0000 3.7234 0.0000
0.0000 0.0000 10.7347
Gd Tb Ba
1 2 1
direct
0.5000 0.5000 0.0000
0.0000 0.0000 0.7827
0.0000 0.0000 0.2173
0.5000 0.5000 0.5000
```

Results
* offset from the most stable computed form: 0.000 eV per atom
* energy of formation: 0.619 eV/f.u.
* total moment: 7.198 Bohr magnetons per cell

=====

(11)
Below is a relaxed structure of La2Mg3Al, with properties calculated at the PBE level.

Geometry as POSCAR:
```
La2Mg3Al
1.0
5.3002 -0.1568 -2.7840
-3.3692 4.9448 -0.2563
-0.1466 0.2192 6.1556
La Mg Al
2 3 1
direct
0.7335 0.3677 0.1012
0.2665 0.6323 0.8988
0.5000 0.5000 0.5000
0.0000 0.0000 0.5000
0.5000 0.0000 0.5000
0.0000 0.0000 0.0000
```

Results
* energy of formation: -1.299 eV/f.u.
* total moment: 0.000 Bohr magnetons per cell

=====

(12)
Below is a relaxed structure of Tl4SnHg2Pb2, with properties calculated at the PBE level.

Geometry as POSCAR:
```
Tl4SnHg2Pb2
1.0
6.6314 0.6012 -1.0701
-0.5903 8.1525 -0.0812
-4.0631 -4.3279 5.9157
Tl Sn Hg Pb
4 1 2 2
direct
0.7619 0.8471 0.1625
0.7777 0.6184 0.4474
0.2381 0.1529 0.8375
0.2223 0.3816 0.5526
0.0000 0.0000 0.0000
0.3537 0.7785 0.5544
0.6463 0.2215 0.4456
0.8097 0.3499 0.9760
0.1903 0.6501 0.0240
```

Results
* energy of formation: 0.447 eV/f.u.
* total moment: 0.000 Bohr magnetons per cell